Below is a relaxed structure of CsNaTcI6, with properties calculated at the PBE-GGA level.

Cell lengths 7.9150, 7.9150, 8.3576 Å; angles 90.01, 89.99, 59.96 degrees
Site moments in Bohr magnetons follow the coordinates.
Atoms (fractional coordinates):
Cs: 0.0000 0.0000 0.0000  0.00
Na: 0.6665 0.6665 0.5000  0.00
Tc: 0.3333 0.3334 0.5000  2.29
I: 0.0431 0.3485 0.3077  0.05
I: 0.3485 0.0432 0.6923  0.05
I: 0.6082 0.3487 0.6923  0.05
I: 0.0425 0.6089 0.6920  0.05
I: 0.3487 0.6083 0.3077  0.05
I: 0.6089 0.0426 0.3080  0.05

## Properties
Its space-group type is P312. The calculation puts the total DFT energy (no corrections) at -3.0698 eV/atom. The calculation puts the uncorrected formation energy at -643.2 meV per atom. For the calculated volume, the calculation gives 50.4 A^3/atom.